1.
Ca7AcN3 after structural relaxation, computed with PBE-GGA.

Structure (extended XYZ):
```
11
Lattice="-4.916 0.808 -4.059 1.925 -6.188 -3.562 -4.735 -0.319 5.671" Properties=species:S:1:pos:R:3 pbc="T T T"
Ca -3.598 -1.335 4.052
Ca -4.286 -4.840 -1.583
Ca -5.187 -3.428 -4.524
Ca -2.676 -4.299 2.346
Ca -1.329 -1.182 1.335
N -5.234 -2.617 -2.084
Ca -2.964 -1.780 -2.575
N -6.187 0.449 -0.320
N -7.580 -2.775 0.725
Ca -2.059 -4.690 -4.250
Ac -5.288 -1.820 0.303
```

Computed properties:
Formation energy from raw total energies = -581 meV/atom
Size of the total moment = 0.000 μB per atom
V = 304 Å³ per cell
Calculated density = 3.0 g/cm3

---

2.
Hg2PbSe after structural relaxation, computed with PBE-GGA.

Structure (extended XYZ):
```
4
Lattice="-0.810 -4.969 -3.182 1.588 -2.373 3.302 -3.970 -0.488 1.773" Properties=species:S:1:pos:R:3 pbc="T T T"
Se -2.192 -4.630 2.216
Hg -1.205 -1.447 2.567
Pb -1.001 -3.200 -0.322
Hg -2.368 -2.844 5.045
```

Computed properties:
Formation energy from raw total energies = -138 meV/atom
Size of the total moment = 0.000 μB per atom
V = 114 Å³ per cell
Calculated density = 10.0 g/cm3

---

3.
Ba2HgC after structural relaxation, computed with PBE-GGA.

Structure (extended XYZ):
```
8
Lattice="4.822 -0.002 -0.002 -0.189 7.526 -0.016 -2.206 -2.307 8.256" Properties=species:S:1:pos:R:3 pbc="T T T"
Ba 1.429 4.593 5.397
C -0.768 6.051 4.295
Ba -1.121 0.577 6.576
C 3.195 -0.834 3.942
Hg -1.036 4.064 8.002
Hg 3.463 1.153 0.236
Ba 0.998 0.624 2.841
Ba 3.547 4.640 1.661
```

Computed properties:
Relative energy among the computed polymorphs = 26 meV/atom
Size of the total moment = 0.000 μB per atom
Energy of formation from the pure elements = -64 kJ/mol of formula units
V = 299 Å³ per cell
Calculated density = 5.4 g/cm3